This record from Alexandria describes an optimized crystal structure of Li2InH2. The functional is GGA-PBE.

abc: 5.809 5.809 5.809
angles: 145.12 145.12 50.16
Atoms (fractional coordinates):
Li 0.194 0.194 0.000
Li 0.806 0.806 0.000
In 0.500 0.500 0.000
H 0.250 0.750 0.500
H 0.750 0.250 0.500

* raw total energy: -2.781 eV/atom
* distance to the lowest polymorph of the same formula: 0 meV per atom
* spin magnetization: 0.0 Bohr magnetons per cell
* DOS(E_F): 1.3 states/eV per cell
* space-group type: I4/mmm (139)
* calculated density: 3.4 g cm⁻³